Arrangement w

DFT (PBE) results for a relaxed structure of BiB3Ir.

The structure belongs to space group Pm-3m (No. 221); the cell edges are 4.2259, 4.2259 and 4.2259 Å and the angles 90.00°, 90.00° and 90.00°. Symmetry generates all atoms from Bi at (0.0000, 0.0000, 0.0000), B at (0.0000, 0.5000, 0.5000) and Ir at (0.5000, 0.5000, 0.5000).

***

Arrangement x

DFT (PBE) results for a relaxed structure of BiB3Ir.

The structure belongs to space group Pm-3m (No. 221); the cell edges are 4.5316, 4.5316 and 4.5316 Å and the angles 90.00°, 90.00° and 90.00°. Symmetry generates all atoms from Bi at (0.0000, 0.0000, 0.0000), B at (0.0000, 0.0000, 0.5000) and Ir at (0.5000, 0.5000, 0.5000).

***

Stability comparison, relative energies in meV/atom: arrangement w 0; arrangement x 1969